# 1
Material: Y15C19
Method: DFT, meta-GGA SCAN
State: single point on PBEsol structure

Geometry as POSCAR:
```
Y15C19
1.0
8.0821 0.0000 0.0000
0.0000 8.0821 0.0000
0.0000 0.0000 15.3154
C Y
38 30
Direct
0.6974 0.1015 0.0000
0.3026 0.8985 0.0000
0.1015 0.3026 0.0000
0.8985 0.6974 0.0000
0.8026 0.6015 0.5000
0.1974 0.3985 0.5000
0.3985 0.8026 0.5000
0.6015 0.1974 0.5000
0.4043 0.1974 0.1709
0.5957 0.8026 0.1709
0.1974 0.5957 0.8291
0.8026 0.4043 0.8291
0.0957 0.6974 0.3291
0.9043 0.3026 0.3291
0.3026 0.0957 0.6709
0.6974 0.9043 0.6709
0.3485 0.1515 0.2500
0.6515 0.8485 0.2500
0.1515 0.6515 0.7500
0.8485 0.3485 0.7500
0.1515 0.6515 0.2500
0.8485 0.3485 0.2500
0.3485 0.1515 0.7500
0.6515 0.8485 0.7500
0.8026 0.4043 0.1709
0.1974 0.5957 0.1709
0.4043 0.1974 0.8291
0.5957 0.8026 0.8291
0.6974 0.9043 0.3291
0.3026 0.0957 0.3291
0.0957 0.6974 0.6709
0.9043 0.3026 0.6709
0.0000 0.0000 0.1634
0.0000 0.0000 0.8366
0.5000 0.5000 0.3366
0.5000 0.5000 0.6634
0.0000 0.0000 0.5000
0.5000 0.5000 0.0000
0.4063 0.2024 0.0000
0.5937 0.7976 0.0000
0.2024 0.5937 0.0000
0.7976 0.4063 0.0000
0.0937 0.7024 0.5000
0.9063 0.2976 0.5000
0.2976 0.0937 0.5000
0.7024 0.9063 0.5000
0.0985 0.2851 0.1510
0.9015 0.7149 0.1510
0.2851 0.9015 0.8490
0.7149 0.0985 0.8490
0.4015 0.7851 0.3490
0.5985 0.2149 0.3490
0.2149 0.4015 0.6510
0.7851 0.5985 0.6510
0.7149 0.0985 0.1510
0.2851 0.9015 0.1510
0.0985 0.2851 0.8490
0.9015 0.7149 0.8490
0.7851 0.5985 0.3490
0.2149 0.4015 0.3490
0.4015 0.7851 0.6510
0.5985 0.2149 0.6510
0.5000 0.5000 0.8308
0.5000 0.5000 0.1692
0.0000 0.0000 0.6692
0.0000 0.0000 0.3308
0.0000 0.0000 0.0000
0.5000 0.5000 0.5000
```

Results
Fermi-level density of states: 14.85 states/eV/cell
E_tot: -1250.66 eV for the cell shown
Calculated formation energy: -0.46 eV/atom

# 2
Material: NbHSN2
Method: DFT, meta-GGA SCAN
State: single point on PBEsol structure

Geometry as POSCAR:
```
NbHSN2
1.0
-3.4741 0.9643 -1.7248
-1.9663 -1.3411 3.2108
0.2438 4.5284 2.0407
H Nb S N
1 1 1 2
Direct
0.5000 0.5000 0.5000
0.0000 0.0000 0.0000
0.0000 0.0000 0.5000
0.0000 0.5000 0.0000
0.5000 0.0000 0.0000
```

Results
E above lowest polymorph: 0 meV/atom
Fermi-level density of states: 0.99 states/eV/cell
E_tot: -60.69 eV for the cell shown

# 3
Material: NdMg
Method: DFT, meta-GGA SCAN
State: single point on PBEsol structure

Geometry as POSCAR:
```
NdMg
1.0
3.8294 0.0000 0.0000
0.0000 3.8294 0.0000
0.0000 0.0000 3.8294
Mg Nd
1 1
Direct
0.0000 0.0000 0.0000
0.5000 0.5000 0.5000
```

Results
Fermi-level density of states: 1.96 states/eV/cell
E_tot: -48.80 eV for the cell shown
Calculated formation energy: -0.12 eV/atom

# 4
Material: TaSnBSb2
Method: DFT, meta-GGA SCAN
State: single point on PBEsol structure

Geometry as POSCAR:
```
TaSnBSb2
1.0
-3.7699 -1.0185 2.0626
-0.2496 -4.1527 -2.5068
2.5176 -2.2564 3.4873
Sb B Sn Ta
2 1 1 1
Direct
0.0000 0.0000 0.5000
0.0000 0.5000 0.0000
0.0000 0.0000 0.0000
0.5000 0.5000 0.5000
0.5000 0.0000 0.0000
```

Results
Fermi-level density of states: 4.33 states/eV/cell
Raw formation energy: 868.3 meV per atom
E_tot: -180.11 eV for the cell shown